# La3Pm2Y2 (PBE-GGA, relaxed)
data_La3Pm2Y2
_space_group_name_H-M_alt 'C 1 2/m 1'
_space_group_IT_number 12
_cell_length_a 17.9612
_cell_length_b 3.5671
_cell_length_c 8.7256
_cell_angle_alpha 90.00
_cell_angle_beta 118.70
_cell_angle_gamma 90.00
loop_
_space_group_symop_operation_xyz
'x,y,z'
'-x,-y,-z'
'-x,y,-z'
'x,-y,z'
'x+1/2,y+1/2,z'
'-x+1/2,-y+1/2,-z'
'-x+1/2,y+1/2,-z'
'x+1/2,-y+1/2,z'
loop_
_atom_site_label
_atom_site_type_symbol
_atom_site_fract_x
_atom_site_fract_y
_atom_site_fract_z
La1 La 0.0000 0.0000 0.0000
La2 La 0.2126 0.0000 0.2961
Pm1 Pm 0.0646 0.5000 0.4114
Y1 Y 0.1453 0.0000 0.8296
# * E_form: 10.0 kJ per mole of atoms
# * Fermi-level density of states: 23.03 states/eV per cell
# * energy relative to the lowest polymorph listed for this composition: 56.8 meV per atom

# La12Pm7Y (PBE-GGA, relaxed)
data_La12Pm7Y
_space_group_name_H-M_alt 'R -3'
_space_group_IT_number 148
_space_group_name_Hall '-R 3'
_cell_length_a 12.5935
_cell_length_b 12.5935
_cell_length_c 15.6499
_cell_angle_alpha 90.00
_cell_angle_beta 90.00
_cell_angle_gamma 120.00
loop_
_atom_site_label
_atom_site_type_symbol
_atom_site_fract_x
_atom_site_fract_y
_atom_site_fract_z
La1 La 0.0188 0.5769 0.2230
La2 La 0.0651 0.4716 0.5780
Pm1 Pm 0.0000 0.0000 0.0000
Pm2 Pm 0.0572 0.8720 0.3029
Y1 Y 0.0000 0.0000 0.5000
# * E_form: 17.5 kJ per mole of atoms
# * Fermi-level density of states: 115.59 states/eV per cell
# * energy relative to the lowest polymorph listed for this composition: 4.1 meV per atom

Look up the Fermi-level density of states of the second one.
115.59 states/eV per cell